Pu6Te5S | PBE | relaxed

Calculated values
Formation energy without anion corrections = -1.172 eV/atom

abc: 7.567 7.558 7.574
angles: 60.07 80.34 70.34
Each line ends with the local moment (μB).
Sites, in units of the cell vectors:
Pu 0.767 0.076 0.310  5.53
Pu 0.233 0.614 0.310  5.53
Pu 0.243 0.226 0.000  5.56
Pu 0.757 0.774 0.000  5.56
Pu 0.767 0.386 0.690  5.53
Pu 0.233 0.924 0.690  5.53
Te 0.500 0.177 0.645  -0.10
Te 0.000 0.336 0.328  -0.10
Te 0.500 0.500 0.000  -0.10
Te 0.000 0.664 0.672  -0.10
Te 0.500 0.823 0.355  -0.10
S 0.000 0.000 0.000  -0.13

---

ScGeTe3 | PBE | relaxed

Calculated values
Formation energy without anion corrections = 0.158 eV/atom
Offset from the most stable computed form = 72.6 kJ per mole of atoms

abc: 5.354 5.354 5.354
angles: 90.00 90.00 90.00
Sites, in units of the cell vectors:
Sc 0.500 0.500 0.500
Ge 0.000 0.000 0.000
Te 0.000 0.500 0.000
Te 0.000 0.000 0.500
Te 0.500 0.000 0.000

---

SrVGaPd2 | PBE | relaxed

Calculated values
ΔH_f (0 K) = 1.586 eV per atom

abc: 5.069 5.080 5.069
angles: 90.00 90.00 90.00
Each line ends with the local moment (μB).
Sites, in units of the cell vectors:
Sr 0.000 0.000 0.000  0.02
Ga 0.500 0.500 0.500  -0.01
Pd 0.000 0.000 0.500  0.01
Pd 0.500 0.000 0.000  0.00
V 0.000 0.500 0.000  -0.15

---

Rb2MgTiSb | PBE | relaxed

Calculated values
Formation energy without anion corrections = 0.972 eV/atom

abc: 6.382 5.598 6.382
angles: 90.00 90.00 90.00
Each line ends with the local moment (μB).
Sites, in units of the cell vectors:
Sb 0.500 0.500 0.500  -0.41
Mg 0.000 0.500 0.000  0.02
Rb 0.000 0.000 0.500  0.04
Rb 0.500 0.000 0.000  0.03
Ti 0.000 0.000 0.000  2.18

---

Ga3Os | PBE | relaxed

Calculated values
ΔH_f (0 K) = -0.266 eV per atom
Offset from the most stable computed form = 0.0 kJ per mole of atoms

abc: 6.546 6.546 6.836
angles: 90.00 90.00 90.00
Sites, in units of the cell vectors:
Ga 0.655 0.345 0.734
Ga 0.655 0.345 0.266
Ga 0.845 0.845 0.766
Ga 0.155 0.155 0.766
Ga 0.000 0.500 0.000
Ga 0.500 0.000 0.500
Ga 0.845 0.845 0.234
Ga 0.345 0.655 0.734
Ga 0.155 0.155 0.234
Ga 0.500 0.000 0.000
Ga 0.345 0.655 0.266
Ga 0.000 0.500 0.500
Os 0.840 0.160 0.000
Os 0.660 0.660 0.500
Os 0.160 0.840 0.000
Os 0.340 0.340 0.500

---

CdHg2Br2 | PBE | relaxed

Calculated values
Formation energy without anion corrections = 0.053 eV/atom
Offset from the most stable computed form = 16.7 kJ per mole of atoms

abc: 7.036 7.036 7.036
angles: 132.27 132.27 69.81
Sites, in units of the cell vectors:
Cd 0.000 0.000 0.000
Hg 0.250 0.750 0.500
Hg 0.750 0.250 0.500
Br 0.672 0.672 0.000
Br 0.328 0.328 0.000

---

CrFeTeN2 | PBE | relaxed

Calculated values
Formation energy without anion corrections = 0.902 eV/atom
Offset from the most stable computed form = 16.6 kJ per mole of atoms

abc: 3.687 3.687 5.544
angles: 90.00 90.00 90.00
Each line ends with the local moment (μB).
Sites, in units of the cell vectors:
Cr 0.500 0.500 0.500  3.64
Te 0.000 0.000 0.500  -0.10
Fe 0.000 0.000 0.000  0.32
N 0.000 0.500 0.000  -0.08
N 0.500 0.000 0.000  -0.08

---

UAgPdO6 | PBE | relaxed

Calculated values
Formation energy without anion corrections = -1.426 eV/atom

abc: 5.395 5.395 9.771
angles: 90.00 90.00 120.00
Sites, in units of the cell vectors:
U 0.667 0.333 0.250
U 0.333 0.667 0.750
Ag 0.000 0.000 0.000
Ag 0.000 0.000 0.500
Pd 0.333 0.667 0.250
Pd 0.667 0.333 0.750
O 0.642 0.648 0.137
O 0.007 0.358 0.137
O 0.358 0.007 0.637
O 0.993 0.642 0.863
O 0.352 0.358 0.363
O 0.007 0.648 0.363
O 0.648 0.007 0.863
O 0.642 0.993 0.363
O 0.993 0.352 0.637
O 0.352 0.993 0.137
O 0.648 0.642 0.637
O 0.358 0.352 0.863

---

TaRh5 | PBE | relaxed

Calculated values
ΔH_f (0 K) = -0.340 eV per atom

abc: 3.882 4.776 5.488
angles: 106.83 90.00 113.98
Sites, in units of the cell vectors:
Ta 0.000 0.000 0.000
Rh 0.332 0.664 0.170
Rh 0.000 0.000 0.500
Rh 0.668 0.336 0.830
Rh 0.663 0.326 0.329
Rh 0.337 0.674 0.671

---

LiCa2Ta3O10 | PBE | relaxed

Calculated values
Formation energy without anion corrections = -2.878 eV/atom

abc: 14.254 14.254 14.254
angles: 164.13 164.13 22.51
Sites, in units of the cell vectors:
Li 0.250 0.750 0.500
Ca 0.418 0.418 0.000
Ca 0.582 0.582 0.000
Ta 0.000 0.000 0.000
Ta 0.153 0.153 0.000
Ta 0.847 0.847 0.000
O 0.071 0.071 0.000
O 0.500 0.000 0.500
O 0.637 0.137 0.500
O 0.218 0.218 0.000
O 0.863 0.363 0.500
O 0.782 0.782 0.000
O 0.929 0.929 0.000
O 0.000 0.500 0.500
O 0.139 0.639 0.500
O 0.361 0.861 0.500

---

Cu14GePd | PBE | relaxed

Calculated values
ΔH_f (0 K) = -0.035 eV per atom

abc: 5.216 5.216 8.479
angles: 90.00 90.00 120.73
Sites, in units of the cell vectors:
Cu 0.210 0.790 0.000
Cu 0.712 0.288 0.000
Cu 0.038 0.462 0.500
Cu 0.208 0.288 0.000
Cu 0.538 0.962 0.500
Cu 0.712 0.792 0.000
Cu 0.377 0.123 0.757
Cu 0.377 0.123 0.243
Cu 0.877 0.623 0.757
Cu 0.877 0.623 0.243
Cu 0.373 0.627 0.758
Cu 0.373 0.627 0.242
Cu 0.874 0.126 0.752
Cu 0.874 0.126 0.248
Ge 0.039 0.961 0.500
Pd 0.538 0.462 0.500

---

K2LiI3 | PBE | relaxed

Calculated values
Formation energy without anion corrections = -1.354 eV/atom
Offset from the most stable computed form = 2.9 kJ per mole of atoms

abc: 7.224 9.537 9.537
angles: 117.91 90.00 90.00
Sites, in units of the cell vectors:
K 0.493 0.831 0.510
K 0.993 0.490 0.169
K 0.493 0.510 0.831
K 0.993 0.169 0.490
Li 0.058 0.844 0.844
Li 0.558 0.156 0.156
I 0.989 0.828 0.542
I 0.489 0.458 0.172
I 0.989 0.542 0.828
I 0.489 0.172 0.458
I 0.437 0.889 0.889
I 0.937 0.111 0.111

---

NaAg3Sb | PBE | relaxed

Calculated values
Formation energy without anion corrections = 0.110 eV/atom
Offset from the most stable computed form = 0.0 kJ per mole of atoms

abc: 5.245 5.245 11.831
angles: 102.81 102.81 90.00
Sites, in units of the cell vectors:
Na 0.000 0.000 0.000
Na 0.250 0.750 0.500
Ag 0.621 0.872 0.743
Ag 0.128 0.878 0.257
Ag 0.128 0.379 0.257
Ag 0.122 0.872 0.743
Ag 0.359 0.359 0.719
Ag 0.641 0.641 0.281
Sb 0.602 0.102 0.205
Sb 0.898 0.398 0.795

---

NaCd2Ag8 | PBE | relaxed

Calculated values
ΔH_f (0 K) = -0.009 eV per atom
Offset from the most stable computed form = 0.0 kJ per mole of atoms

abc: 4.162 6.850 7.883
angles: 106.53 105.31 90.00
Sites, in units of the cell vectors:
Na 0.500 0.000 0.000
Cd 0.225 0.644 0.450
Cd 0.775 0.356 0.550
Ag 0.590 0.457 0.180
Ag 0.318 0.087 0.636
Ag 0.137 0.187 0.275
Ag 0.045 0.724 0.091
Ag 0.863 0.813 0.725
Ag 0.682 0.913 0.364
Ag 0.410 0.543 0.820
Ag 0.955 0.276 0.909

---

Co3C2 | PBE | relaxed

Calculated values
ΔH_f (0 K) = 0.245 eV per atom

abc: 7.196 5.754 4.965
angles: 84.00 52.68 43.33
Sites, in units of the cell vectors:
Co 0.432 0.227 0.584
Co 0.758 0.584 0.227
Co 0.023 0.818 0.492
Co 0.666 0.492 0.818
Co 0.115 0.885 0.885
Co 0.365 0.135 0.135
C 0.428 0.407 0.898
C 0.268 0.898 0.407
C 0.843 0.822 0.982
C 0.352 0.982 0.822

---

Cd2AsRu | PBE | relaxed

Calculated values
ΔH_f (0 K) = 0.362 eV per atom

abc: 5.262 3.031 4.687
angles: 94.00 90.00 90.00
Each line ends with the local moment (μB).
Sites, in units of the cell vectors:
Ru 0.500 0.250 0.250  0.49
As 0.500 0.750 0.750  0.00
Cd 0.000 0.992 0.005  -0.01
Cd 0.000 0.508 0.495  -0.01

---

Fe6B2P | PBE | relaxed

Calculated values
ΔH_f (0 K) = -0.293 eV per atom

abc: 6.073 6.073 6.073
angles: 103.78 111.12 113.68
Each line ends with the local moment (μB).
Sites, in units of the cell vectors:
Fe 0.475 0.288 0.187  1.48
Fe 0.525 0.712 0.813  1.48
Fe 0.899 0.712 0.187  1.48
Fe 0.101 0.288 0.813  1.48
Fe 0.198 0.758 0.956  1.70
Fe 0.802 0.242 0.044  1.70
Fe 0.802 0.758 0.560  1.70
Fe 0.198 0.242 0.440  1.70
Fe 0.299 0.973 0.674  1.49
Fe 0.701 0.027 0.326  1.49
Fe 0.701 0.375 0.674  1.49
Fe 0.299 0.625 0.326  1.49
B 0.500 0.379 0.879  -0.11
B 0.500 0.621 0.121  -0.11
B 0.359 0.000 0.359  -0.11
B 0.641 0.000 0.641  -0.11
P 0.000 0.500 0.500  -0.06
P 0.000 0.000 0.000  -0.09

---

SiTc2Ir | PBE | relaxed

Calculated values
Formation energy without anion corrections = -0.208 eV/atom

abc: 8.522 8.522 8.522
angles: 18.82 18.82 18.82
Sites, in units of the cell vectors:
Ir 0.506 0.506 0.506
Si 0.249 0.249 0.249
Tc 0.997 0.997 0.997
Tc 0.748 0.748 0.748

---

Ho3Ni7Ge2 | PBE | relaxed

Calculated values
ΔH_f (0 K) = -0.279 eV per atom

abc: 3.685 3.956 13.839
angles: 98.22 90.00 90.00
Sites, in units of the cell vectors:
Ho 0.500 0.500 0.000
Ho 0.500 0.703 0.406
Ho 0.500 0.297 0.594
Ni 0.000 0.370 0.740
Ni 0.000 0.793 0.586
Ni 0.000 0.000 0.000
Ni 0.000 0.630 0.260
Ni 0.500 0.135 0.270
Ni 0.500 0.865 0.730
Ni 0.000 0.207 0.414
Ge 0.000 0.918 0.835
Ge 0.000 0.082 0.165

---

Ac4ErPa3N8 | PBE | relaxed

Calculated values
Formation energy without anion corrections = -1.434 eV/atom

abc: 7.228 7.480 7.227
angles: 118.88 120.00 90.00
Sites, in units of the cell vectors:
Ac 0.500 0.000 0.000
Ac 0.500 0.000 0.500
Ac 0.000 0.000 0.000
Ac 0.000 0.000 0.500
Er 0.000 0.500 0.000
Pa 0.500 0.500 0.000
Pa 0.500 0.500 0.500
Pa 0.000 0.500 0.500
N 0.236 0.691 0.955
N 0.236 0.691 0.472
N 0.271 0.312 0.541
N 0.719 0.691 0.955
N 0.281 0.309 0.045
N 0.729 0.688 0.459
N 0.764 0.309 0.528
N 0.764 0.309 0.045

---

RbSiP3 | PBE | relaxed

Calculated values
Formation energy without anion corrections = 2.363 eV/atom
Offset from the most stable computed form = 237.8 kJ per mole of atoms

abc: 5.280 5.280 5.280
angles: 90.00 90.00 90.00
Sites, in units of the cell vectors:
P 0.000 0.500 0.000
P 0.000 0.000 0.500
P 0.500 0.000 0.000
Si 0.500 0.500 0.500
Rb 0.000 0.000 0.000

---

LaTb2TmAu4 | PBE | relaxed

Calculated values
ΔH_f (0 K) = -0.833 eV per atom

abc: 5.105 5.105 9.101
angles: 73.71 73.71 60.00
Sites, in units of the cell vectors:
La 0.000 0.000 0.000
Tb 0.753 0.753 0.742
Tb 0.247 0.247 0.258
Tm 0.500 0.500 0.500
Au 0.384 0.384 0.847
Au 0.871 0.871 0.387
Au 0.129 0.129 0.613
Au 0.616 0.616 0.153